First-principles (PBE) data for NiRuI3 after structural relaxation, as listed in the Alexandria database.

Computed properties:
VASP energy ... -14.9 eV per cell
Uncorrected formation energy ... 968 meV/atom
Size of the total moment ... 3.621 μB/f.u.

a b c (Å): 5.204 5.204 5.204
angles (deg): 90.00 90.00 90.00
Site moments in Bohr magnetons follow the coordinates.
Sites, in units of the cell vectors:
I (0.000, 0.500, 0.000)  0.15
I (0.000, 0.000, 0.500)  0.10
I (0.500, 0.000, 0.000)  0.10
Ru (0.500, 0.500, 0.500)  2.76
Ni (0.000, 0.000, 0.000)  0.10